{"formula": "MnFeF3", "functional": "PBE+U", "state": "optimized geometry", "lattice_angstrom": [[4.178, 0.000, 0.000], [0.000, 4.178, 0.000], [0.000, 0.000, 4.178]], "species": ["Fe", "F", "F", "F", "Mn"], "frac_coords": [[0.500, 0.500, 0.500], [0.000, 0.000, 0.500], [0.000, 0.500, 0.000], [0.500, 0.000, 0.000], [0.000, 0.000, 0.000]], "final_energy_ev_per_cell": -27.3, "space_group": "No. 221"}